(1)
SmGdMgGa: optimized geometry, GGA-PBE.

Space-group type: F-43m (216)
E_form in eV per atom: -0.343
Total DFT energy (no corrections) in eV/atom: -6.20

a = 5.238 Å, b = 5.238 Å, c = 5.238 Å
α = 60.00°, β = 60.00°, γ = 60.00°
Atoms (fractional coordinates):
Sm 0.000 0.000 0.000
Ga 0.750 0.750 0.750
Mg 0.250 0.250 0.250
Gd 0.500 0.500 0.500



(2)
KBaPd: optimized geometry, GGA-PBE.

Space-group type: Cmcm (63)
E_form in eV per atom: -0.304
Total DFT energy (no corrections) in eV/atom: -3.04

a = 4.703 Å, b = 4.416 Å, c = 12.897 Å
α = 99.86°, β = 90.00°, γ = 90.00°
Atoms (fractional coordinates):
K 0.750 0.686 0.371
K 0.250 0.314 0.629
Pd 0.750 0.532 0.063
Pd 0.250 0.468 0.937
Ba 0.750 0.935 0.869
Ba 0.250 0.065 0.131



(3)
RbZnCu2Cl8: optimized geometry, GGA-PBE.

Space-group type: P-3 (147)
Total DFT energy (no corrections) in eV/atom: -2.86
Formation energy without anion corrections in meV per atom: -760

a = 6.371 Å, b = 6.371 Å, c = 9.068 Å
α = 90.00°, β = 90.00°, γ = 120.00°
Atoms (fractional coordinates):
Cl 0.687 0.688 0.663
Cl 0.999 0.687 0.337
Cl 0.333 0.667 0.962
Cl 0.667 0.333 0.038
Cl 0.688 0.001 0.337
Cl 0.001 0.313 0.663
Cl 0.312 0.999 0.663
Cl 0.313 0.312 0.337
Cu 0.667 0.333 0.281
Cu 0.333 0.667 0.719
Zn 0.000 0.000 0.500
Rb 0.000 0.000 0.000